No. 1
Compound: SrYMgCd
Source: the Alexandria database
Functional: PBE-GGA
Structure: optimized geometry

a b c (Å): 5.5547 5.5547 5.5547
angles (deg): 60.00 60.00 60.00
Last column: nearest neighbours and their distance in Å.
Atoms (fractional coordinates):
Sr (0.0000, 0.0000, 0.0000)  4 Cd 3.40, 4 Mg 3.40
Y (0.5000, 0.5000, 0.5000)  4 Cd 3.40, 4 Mg 3.40
Mg (0.2500, 0.2500, 0.2500)  4 Sr 3.40, 4 Y 3.40
Cd (0.7500, 0.7500, 0.7500)  4 Sr 3.40, 4 Y 3.40

Properties
Calculated formation energy = -0.14 eV/atom
Density = 4.3 Mg/m³
Calculated volume = 30.3 Å³/atom
Total energy = -2.8079 eV per atom
SG = F-43m

No. 2
Compound: K4RbCl5
Source: the Alexandria database
Functional: PBE-GGA
Structure: optimized geometry

a b c (Å): 7.8835 7.8835 11.1501
angles (deg): 118.11 118.11 33.55
Last column: nearest neighbours and their distance in Å.
Atoms (fractional coordinates):
K (0.0988, 0.0988, 0.4008)  6 Cl 3.17-3.22
K (0.2991, 0.2991, 0.2032)  6 Cl 3.17-3.24
K (0.7009, 0.7009, 0.7968)  6 Cl 3.17-3.24
K (0.9012, 0.9012, 0.5992)  6 Cl 3.17-3.22
Rb (0.5000, 0.5000, 0.0000)  6 Cl 3.28-3.29
Cl (0.1046, 0.1046, 0.8954)  4 K 3.17-3.24, 2 Rb 3.29
Cl (0.2977, 0.2977, 0.6934)  5 K 3.17-3.21, 1 Rb 3.28
Cl (0.5000, 0.5000, 0.5000)  6 K 3.20-3.21
Cl (0.7023, 0.7023, 0.3066)  5 K 3.17-3.21, 1 Rb 3.28
Cl (0.8954, 0.8954, 0.1046)  4 K 3.17-3.24, 2 Rb 3.29

Properties
Density = 2.1 Mg/m³
Calculated volume = 33.3 Å³/atom
Total energy = -3.4118 eV per atom
SG = C2/m

No. 3
Compound: LiCd2Se
Source: the Alexandria database
Functional: PBE-GGA
Structure: optimized geometry

a b c (Å): 3.9811 3.9811 5.5220
angles (deg): 90.00 90.00 90.00
Last column: nearest neighbours and their distance in Å.
Atoms (fractional coordinates):
Li (0.0000, 0.0000, 0.0000)  2 Se 2.76
Cd (0.5000, 0.5000, 0.2501)  2 Cd 2.76
Cd (0.5000, 0.5000, 0.7499)  2 Cd 2.76
Se (0.0000, 0.0000, 0.5000)  2 Li 2.76

Properties
Density = 5.9 Mg/m³
Calculated volume = 21.9 Å³/atom
Total energy = -2.1111 eV per atom
SG = P4/mmm

No. 4
Compound: BeAgN2
Source: the Alexandria database
Functional: PBE-GGA
Structure: optimized geometry

a b c (Å): 5.2004 5.2004 5.2004
angles (deg): 127.98 127.98 76.66
Last column: nearest neighbours and their distance in Å.
Atoms (fractional coordinates):
Be (0.0000, 0.0000, 0.0000)  4 N 1.71
Be (0.7500, 0.2500, 0.5000)  4 N 1.71
Ag (0.2500, 0.7500, 0.5000)  4 N 2.16
Ag (0.5000, 0.5000, 0.0000)  4 N 2.16
N (0.0415, 0.6250, 0.9165)  2 Be 1.71
N (0.3750, 0.2915, 0.4165)  2 Be 1.71
N (0.7085, 0.1250, 0.0835)  2 Be 1.71
N (0.8750, 0.9585, 0.5835)  2 Be 1.71

Properties
Density = 5.7 Mg/m³
Calculated volume = 10.6 Å³/atom
Total energy = -5.0679 eV per atom
SG = I-42d

Question: What is the total energy in the third record?
Answer: -2.1111 eV per atom

Question: Which formula does entry 2 have?
Answer: K4RbCl5

Question: Which of these has the highest total energy?
Answer: LiCd2Se

Question: Look up the total energy of the second one.
Answer: -3.4118 eV per atom